Record 1
## BaCaAu2 (PBE)

Data for a relaxed BaCaAu2 crystal.

As for the density: 7.7 g cm⁻³. The space group is P6_3/mmc. The value obtained for the total magnetization is 0.0000 μB per atom. The value obtained for the calculated formation energy is -2.8 eV per formula unit.

a b c (Å): 5.087 5.087 11.009
angles (deg): 90.00 90.00 120.00
Element x y z (fractional)
Ba 0.333 0.667 0.250
Ba 0.667 0.333 0.750
Ca 0.000 0.000 0.500
Ca 0.000 0.000 0.000
Au 0.667 0.333 0.434
Au 0.333 0.667 0.934
Au 0.333 0.667 0.566
Au 0.667 0.333 0.066

=====

Record 2
## Ba2CaAu (PBE)

Data for a relaxed Ba2CaAu crystal.

As for the density: 4.3 g cm⁻³. As for the energy relative to the lowest polymorph listed for this composition: 67.8 meV/atom. The space group is R3m. The value obtained for the total magnetization is 0.0000 μB per atom. The value obtained for the calculated formation energy is -1.2 eV per formula unit.

a b c (Å): 4.579 4.579 11.132
angles (deg): 78.13 78.13 60.00
Element x y z (fractional)
Ba 0.059 0.059 0.823
Ba 0.274 0.274 0.178
Ca 0.501 0.501 0.498
Au 0.666 0.666 0.001

=====

Record 3
## Ba3Ca2Au2 (PBE)

Data for a relaxed Ba3Ca2Au2 crystal.

As for the density: 5.3 g cm⁻³. The space group is C2/m. The value obtained for the total magnetization is 0.0000 μB per atom. The value obtained for the calculated formation energy is -3.2 eV per formula unit.

a b c (Å): 4.324 7.512 9.752
angles (deg): 68.06 89.99 73.31
Element x y z (fractional)
Ba 0.500 0.000 0.000
Ba 0.619 0.763 0.434
Ba 0.381 0.237 0.566
Ca 0.822 0.357 0.170
Ca 0.178 0.643 0.830
Au 0.812 0.376 0.789
Au 0.188 0.624 0.211

=====

Record 4
## Ba2CaAu (PBE)

Data for a relaxed Ba2CaAu crystal.

As for the density: 4.2 g cm⁻³. As for the energy relative to the lowest polymorph listed for this composition: 115.5 meV/atom. The space group is I-42d. The value obtained for the total magnetization is 0.0004 μB per atom. The value obtained for the calculated formation energy is -1.0 eV per formula unit.

a b c (Å): 11.589 11.589 8.722
angles (deg): 48.37 48.37 90.00
Element x y z (fractional)
Ca 0.500 0.500 0.000
Ca 0.250 0.750 0.500
Au 0.000 0.000 0.000
Au 0.750 0.250 0.500
Ba 0.759 0.125 0.250
Ba 0.991 0.625 0.250
Ba 0.375 0.241 0.750
Ba 0.875 0.009 0.750